1) Below is crystalline Tl3SnHg3 at its relaxed geometry, with properties calculated at the PBE level.

abc: 12.4434 12.4434 3.3083
angles: 90.00 90.00 120.00
With the nearest neighbours (Å) after each atom.
Sites, in units of the cell vectors:
Tl 0.0819 0.2841 0.2500  3 Hg 3.25-3.30, 6 Tl 3.31-3.56
Tl 0.2022 0.9181 0.2500  3 Hg 3.25-3.30, 6 Tl 3.31-3.56
Tl 0.2841 0.2022 0.7500  3 Hg 3.25-3.30, 6 Tl 3.31-3.56
Tl 0.7159 0.7978 0.2500  3 Hg 3.25-3.30, 6 Tl 3.31-3.56
Tl 0.7978 0.0819 0.7500  3 Hg 3.25-3.30, 6 Tl 3.31-3.56
Tl 0.9181 0.7159 0.7500  3 Hg 3.25-3.30, 6 Tl 3.31-3.56
Sn 0.3333 0.6667 0.2500  3 Hg 2.87
Sn 0.6667 0.3333 0.7500  3 Hg 2.87
Hg 0.0823 0.6181 0.2500  1 Sn 2.87, 2 Hg 3.09
Hg 0.3819 0.4641 0.2500  1 Sn 2.87, 2 Hg 3.09
Hg 0.4641 0.0823 0.7500  1 Sn 2.87, 2 Hg 3.09
Hg 0.5359 0.9177 0.2500  1 Sn 2.87, 2 Hg 3.09
Hg 0.6181 0.5359 0.7500  1 Sn 2.87, 2 Hg 3.09
Hg 0.9177 0.3819 0.7500  1 Sn 2.87, 2 Hg 3.09

SG: No. 176
DOS(E_F) in states/eV per atom: 0.383
Calculated volume in A^3/atom: 31.69

2) Below is crystalline Tl3SnHg3 at its relaxed geometry, with properties calculated at the PBE level.

abc: 8.3286 8.3286 8.3286
angles: 90.00 90.00 90.00
With the nearest neighbours (Å) after each atom.
Sites, in units of the cell vectors:
Tl 0.0000 0.2500 0.5000  4 Hg 2.94
Tl 0.0000 0.7500 0.5000  4 Hg 2.94
Tl 0.2500 0.5000 0.0000  4 Hg 2.94
Tl 0.5000 0.0000 0.2500  4 Hg 2.94
Tl 0.5000 0.0000 0.7500  4 Hg 2.94
Tl 0.7500 0.5000 0.0000  4 Hg 2.94
Sn 0.0000 0.0000 0.0000  12 Hg 4.66, 12 Tl 4.66
Sn 0.5000 0.5000 0.5000  12 Hg 4.66, 12 Tl 4.66
Hg 0.0000 0.5000 0.2500  4 Tl 2.94
Hg 0.0000 0.5000 0.7500  4 Tl 2.94
Hg 0.2500 0.0000 0.5000  4 Tl 2.94
Hg 0.5000 0.2500 0.0000  4 Tl 2.94
Hg 0.5000 0.7500 0.0000  4 Tl 2.94
Hg 0.7500 0.0000 0.5000  4 Tl 2.94

SG: No. 223
DOS(E_F) in states/eV per atom: 1.001
Calculated volume in A^3/atom: 41.27

3) Below is crystalline Tl3SnHg3 at its relaxed geometry, with properties calculated at the PBE level.

abc: 6.7668 6.7668 9.5955
angles: 90.39 90.39 104.59
With the nearest neighbours (Å) after each atom.
Sites, in units of the cell vectors:
Tl 0.1483 0.8517 0.0000  4 Hg 3.12-3.17, 1 Tl 3.17
Tl 0.3100 0.6900 0.5000  6 Hg 3.44-3.74, 2 Sn 3.58, 2 Tl 3.83
Tl 0.4786 0.4786 0.1626  1 Tl 3.15, 3 Hg 3.17-3.33, 1 Sn 3.23
Tl 0.5214 0.5214 0.8374  1 Tl 3.15, 3 Hg 3.17-3.33, 1 Sn 3.23
Tl 0.6900 0.3100 0.5000  6 Hg 3.44-3.74, 2 Sn 3.58, 2 Tl 3.83
Tl 0.8517 0.1483 0.0000  4 Hg 3.12-3.17, 1 Tl 3.17
Sn 0.1928 0.1928 0.6523  4 Hg 2.94-2.98, 1 Tl 3.23
Sn 0.8072 0.8072 0.3477  4 Hg 2.94-2.98, 1 Tl 3.23
Hg 0.0014 0.5017 0.7802  1 Sn 2.98, 1 Hg 3.03, 3 Tl 3.12-3.33
Hg 0.1627 0.1627 0.3462  2 Sn 2.94, 2 Hg 3.03, 1 Tl 3.17
Hg 0.4983 0.9986 0.2198  1 Sn 2.98, 1 Hg 3.03, 3 Tl 3.12-3.33
Hg 0.5017 0.0014 0.7802  1 Sn 2.98, 1 Hg 3.03, 3 Tl 3.12-3.33
Hg 0.8373 0.8373 0.6538  2 Sn 2.94, 2 Hg 3.03, 1 Tl 3.17
Hg 0.9986 0.4983 0.2198  1 Sn 2.98, 1 Hg 3.03, 3 Tl 3.12-3.33

SG: No. 12
DOS(E_F) in states/eV per atom: 0.327
Calculated volume in A^3/atom: 30.37

Quick one: most stable of them? 3)

1) Below is crystalline Tl4SnHg at its relaxed geometry, with properties calculated at the PBE level.

abc: 6.4559 6.4559 6.4559
angles: 60.00 60.00 60.00
With the nearest neighbours (Å) after each atom.
Sites, in units of the cell vectors:
Tl 0.1248 0.1248 0.1248  6 Tl 3.22-3.23
Tl 0.1248 0.1248 0.6255  6 Tl 3.22-3.23
Tl 0.1248 0.6255 0.1248  6 Tl 3.22-3.23
Tl 0.6255 0.1248 0.1248  6 Tl 3.22-3.23
Sn 0.7500 0.7500 0.7500  12 Tl 3.78, 4 Hg 3.95
Hg 0.5000 0.5000 0.5000  12 Tl 3.79, 4 Sn 3.95

SG: No. 216
DOS(E_F) in states/eV per atom: 0.746
Calculated volume in A^3/atom: 31.71

2) Below is crystalline Tl4SnHg at its relaxed geometry, with properties calculated at the PBE level.

abc: 5.5448 7.8940 8.5805
angles: 90.00 108.23 90.00
With the nearest neighbours (Å) after each atom.
Sites, in units of the cell vectors:
Tl 0.0000 0.0000 0.0000  2 Sn 3.31, 2 Hg 3.33, 4 Tl 3.40-3.41
Tl 0.0000 0.5000 0.0000  2 Sn 3.31, 2 Hg 3.33, 4 Tl 3.40-3.41
Tl 0.3263 0.0039 0.6540  3 Sn 3.30-3.43, 3 Hg 3.32-3.39, 2 Tl 3.37-3.52
Tl 0.3263 0.4961 0.6540  3 Sn 3.30-3.43, 3 Hg 3.32-3.39, 2 Tl 3.37-3.52
Tl 0.4932 0.7500 0.9861  8 Tl 3.37-3.52, 1 Sn 3.74
Tl 0.5068 0.2500 0.0139  8 Tl 3.37-3.52, 1 Sn 3.74
Tl 0.6737 0.5039 0.3460  3 Sn 3.30-3.43, 3 Hg 3.32-3.39, 2 Tl 3.37-3.52
Tl 0.6737 0.9961 0.3460  3 Sn 3.30-3.43, 3 Hg 3.32-3.39, 2 Tl 3.37-3.52
Sn 0.1648 0.2500 0.3262  8 Tl 3.30-3.43
Sn 0.8352 0.7500 0.6738  8 Tl 3.30-3.43
Hg 0.1664 0.7500 0.3287  8 Tl 3.32-3.39
Hg 0.8336 0.2500 0.6713  8 Tl 3.32-3.39

SG: No. 11
DOS(E_F) in states/eV per atom: 0.496
Calculated volume in A^3/atom: 29.73

Quick one: most stable of them? 2)

1) Below is crystalline Tl2SnHg6 at its relaxed geometry, with properties calculated at the PBE level.

abc: 8.8071 8.8071 3.3969
angles: 90.20 90.20 72.85
With the nearest neighbours (Å) after each atom.
Sites, in units of the cell vectors:
Tl 0.1805 0.1805 0.0004  8 Hg 3.32-3.45, 2 Tl 3.40
Tl 0.8195 0.8195 0.9996  8 Hg 3.32-3.45, 2 Tl 3.40
Sn 0.5000 0.5000 0.0000  8 Hg 3.30-3.33, 2 Sn 3.40
Hg 0.1502 0.8498 0.5000  3 Hg 2.97-3.14
Hg 0.1749 0.5066 0.5049  2 Hg 2.97-3.12, 1 Sn 3.30
Hg 0.4934 0.8251 0.4951  2 Hg 2.97-3.12, 1 Sn 3.30
Hg 0.5066 0.1749 0.5049  2 Hg 2.97-3.12, 1 Sn 3.30
Hg 0.8251 0.4934 0.4951  2 Hg 2.97-3.12, 1 Sn 3.30
Hg 0.8498 0.1502 0.5000  3 Hg 2.97-3.14

SG: No. 12
DOS(E_F) in states/eV per atom: 0.396
Calculated volume in A^3/atom: 27.97

2) Below is crystalline Tl2SnHg6 at its relaxed geometry, with properties calculated at the PBE level.

abc: 7.2855 7.2855 7.2855
angles: 121.53 121.53 87.37
With the nearest neighbours (Å) after each atom.
Sites, in units of the cell vectors:
Tl 0.2500 0.7500 0.5000  12 Hg 3.57-3.66
Tl 0.7500 0.2500 0.5000  12 Hg 3.57-3.66
Sn 0.0000 0.0000 0.0000  6 Hg 2.88-2.92
Hg 0.2770 0.2770 0.0000  1 Sn 2.92, 4 Hg 3.18
Hg 0.2863 0.2863 0.5727  1 Sn 2.88, 4 Hg 3.04-3.18
Hg 0.2863 0.7137 0.0000  1 Sn 2.88, 4 Hg 3.04-3.18
Hg 0.7137 0.2863 0.0000  1 Sn 2.88, 4 Hg 3.04-3.18
Hg 0.7137 0.7137 0.4273  1 Sn 2.88, 4 Hg 3.04-3.18
Hg 0.7230 0.7230 0.0000  1 Sn 2.92, 4 Hg 3.18

SG: No. 139
DOS(E_F) in states/eV per atom: 0.569
Calculated volume in A^3/atom: 29.65

Quick one: most stable of them? 1)

1) Below is crystalline Tl5Sn2Hg at its relaxed geometry, with properties calculated at the PBE level.

abc: 11.4084 11.4084 11.4084
angles: 156.33 156.33 33.73
With the nearest neighbours (Å) after each atom.
Sites, in units of the cell vectors:
Tl 0.0000 0.0000 0.0000  4 Hg 3.31, 8 Tl 3.66
Tl 0.1291 0.6291 0.5000  6 Tl 3.31-3.66, 4 Sn 3.51-3.54, 2 Hg 3.66
Tl 0.3709 0.8709 0.5000  6 Tl 3.31-3.66, 4 Sn 3.51-3.54, 2 Hg 3.66
Tl 0.6291 0.1291 0.5000  6 Tl 3.31-3.66, 4 Sn 3.51-3.54, 2 Hg 3.66
Tl 0.8709 0.3709 0.5000  6 Tl 3.31-3.66, 4 Sn 3.51-3.54, 2 Hg 3.66
Sn 0.2509 0.2509 0.0000  4 Sn 3.31, 8 Tl 3.51-3.54
Sn 0.7491 0.7491 0.0000  4 Sn 3.31, 8 Tl 3.51-3.54
Hg 0.5000 0.5000 0.0000  12 Tl 3.31-3.66

SG: No. 139
DOS(E_F) in states/eV per atom: 0.599
Calculated volume in A^3/atom: 29.89

2) Below is crystalline Tl5Sn2Hg at its relaxed geometry, with properties calculated at the PBE level.

abc: 6.7945 12.9613 5.3768
angles: 90.00 90.00 90.00
With the nearest neighbours (Å) after each atom.
Sites, in units of the cell vectors:
Tl 0.0000 0.0000 0.0000  6 Tl 3.37-3.47, 2 Hg 3.40, 4 Sn 3.72
Tl 0.0809 0.2569 0.0000  1 Hg 3.20, 7 Tl 3.37-3.46
Tl 0.1608 0.8536 0.5000  4 Sn 3.34-3.50, 6 Tl 3.45-3.47
Tl 0.3392 0.3536 0.5000  4 Sn 3.34-3.50, 6 Tl 3.45-3.47
Tl 0.4191 0.7569 0.0000  1 Hg 3.20, 7 Tl 3.37-3.46
Tl 0.5000 0.5000 0.0000  6 Tl 3.37-3.47, 2 Hg 3.40, 4 Sn 3.72
Tl 0.5809 0.2431 0.0000  1 Hg 3.20, 7 Tl 3.37-3.46
Tl 0.6608 0.6464 0.5000  4 Sn 3.34-3.50, 6 Tl 3.45-3.47
Tl 0.8392 0.1464 0.5000  4 Sn 3.34-3.50, 6 Tl 3.45-3.47
Tl 0.9191 0.7431 0.0000  1 Hg 3.20, 7 Tl 3.37-3.46
Sn 0.1670 0.5946 0.5000  2 Hg 3.17, 4 Tl 3.34-3.50, 1 Sn 3.34
Sn 0.3330 0.0946 0.5000  2 Hg 3.17, 4 Tl 3.34-3.50, 1 Sn 3.34
Sn 0.6670 0.9054 0.5000  2 Hg 3.17, 4 Tl 3.34-3.50, 1 Sn 3.34
Sn 0.8330 0.4054 0.5000  2 Hg 3.17, 4 Tl 3.34-3.50, 1 Sn 3.34
Hg 0.0000 0.5000 0.0000  4 Sn 3.17, 4 Tl 3.20-3.40
Hg 0.5000 0.0000 0.0000  4 Sn 3.17, 4 Tl 3.20-3.40

SG: No. 55
DOS(E_F) in states/eV per atom: 0.453
Calculated volume in A^3/atom: 29.59

Quick one: most stable of them? 1)

1) Below is crystalline TlSn4Hg at its relaxed geometry, with properties calculated at the PBE level.

abc: 7.0684 7.0684 5.4228
angles: 95.31 95.31 136.89
With the nearest neighbours (Å) after each atom.
Sites, in units of the cell vectors:
Tl 0.0000 0.0000 0.0000  2 Hg 3.25, 4 Sn 3.26
Sn 0.0912 0.4544 0.7421  1 Hg 3.10, 6 Sn 3.14-3.38, 1 Tl 3.26
Sn 0.4544 0.0912 0.7421  1 Hg 3.10, 6 Sn 3.14-3.38, 1 Tl 3.26
Sn 0.5456 0.9088 0.2579  1 Hg 3.10, 6 Sn 3.14-3.38, 1 Tl 3.26
Sn 0.9088 0.5456 0.2579  1 Hg 3.10, 6 Sn 3.14-3.38, 1 Tl 3.26
Hg 0.5000 0.5000 0.5000  4 Sn 3.10, 2 Tl 3.25

SG: No. 12
DOS(E_F) in states/eV per atom: 0.367
Calculated volume in A^3/atom: 29.87

2) Below is crystalline TlSn4Hg at its relaxed geometry, with properties calculated at the PBE level.

abc: 6.3054 6.3054 6.3054
angles: 60.00 60.00 60.00
With the nearest neighbours (Å) after each atom.
Sites, in units of the cell vectors:
Tl 0.0000 0.0000 0.0000  12 Sn 3.70, 4 Hg 3.86
Sn 0.1253 0.6249 0.6249  6 Sn 3.15-3.16
Sn 0.6249 0.1253 0.6249  6 Sn 3.15-3.16
Sn 0.6249 0.6249 0.1253  6 Sn 3.15-3.16
Sn 0.6249 0.6249 0.6249  6 Sn 3.15-3.16
Hg 0.2500 0.2500 0.2500  12 Sn 3.70, 4 Tl 3.86

SG: No. 216
DOS(E_F) in states/eV per atom: 0.733
Calculated volume in A^3/atom: 29.54

Quick one: most stable of them? 1)

1) Below is crystalline Tm2SnHg2 at its relaxed geometry, with properties calculated at the PBE level.

abc: 5.4815 5.4815 6.0804
angles: 92.05 92.05 47.59
With the nearest neighbours (Å) after each atom.
Sites, in units of the cell vectors:
Tm 0.1952 0.1952 0.2103  5 Hg 3.03-3.31, 3 Sn 3.19-3.36
Tm 0.8048 0.8048 0.7897  5 Hg 3.03-3.31, 3 Sn 3.19-3.36
Sn 0.5000 0.5000 0.0000  4 Hg 3.16, 6 Tm 3.19-3.36
Hg 0.1061 0.1061 0.6805  1 Hg 3.00, 5 Tm 3.03-3.31, 2 Sn 3.16
Hg 0.8939 0.8939 0.3195  1 Hg 3.00, 5 Tm 3.03-3.31, 2 Sn 3.16

SG: No. 12
DOS(E_F) in states/eV per atom: 0.472
Calculated volume in A^3/atom: 26.96

2) Below is crystalline Tm2SnHg2 at its relaxed geometry, with properties calculated at the PBE level.

abc: 6.0945 6.0945 10.9973
angles: 112.42 112.42 43.17
With the nearest neighbours (Å) after each atom.
Sites, in units of the cell vectors:
Tm 0.0010 0.0010 0.1782  6 Hg 3.13-3.41, 3 Sn 3.19-3.34
Tm 0.1768 0.1768 0.5946  3 Hg 2.99-3.05, 2 Sn 3.14
Tm 0.8232 0.8232 0.4054  3 Hg 2.99-3.05, 2 Sn 3.14
Tm 0.9990 0.9990 0.8218  6 Hg 3.13-3.41, 3 Sn 3.19-3.34
Sn 0.2883 0.2883 0.1931  4 Hg 2.89-3.02, 3 Tm 3.14-3.19
Sn 0.7117 0.7117 0.8069  4 Hg 2.89-3.02, 3 Tm 3.14-3.19
Hg 0.3609 0.3609 0.9577  3 Sn 2.89-3.02, 1 Hg 2.90, 2 Tm 3.21
Hg 0.4454 0.4454 0.6063  1 Sn 2.92, 5 Tm 2.99-3.13, 1 Hg 3.06
Hg 0.5546 0.5546 0.3937  1 Sn 2.92, 5 Tm 2.99-3.13, 1 Hg 3.06
Hg 0.6391 0.6391 0.0423  3 Sn 2.89-3.02, 1 Hg 2.90, 2 Tm 3.21

SG: No. 12
DOS(E_F) in states/eV per atom: 0.598
Calculated volume in A^3/atom: 25.49

Quick one: most stable of them? 2)